Here is crystalline TbPmPt4 at its relaxed geometry from the Alexandria database. Energies are from GGA-PBE.

Geometry as POSCAR:
```
TbPmPt4
1.0
5.4720 0.0000 0.0000
2.7360 4.7389 0.0000
2.7360 1.5796 4.4679
Pt Tb Pm
4 1 1
Cartesian
5.4720 3.1593 0.5616 Pt
6.8375 3.9476 2.7914 Pt
5.4720 1.5826 2.7914 Pt
4.1066 3.9476 2.7914 Pt
2.7360 1.5796 1.1170 Tb
0.0000 0.0000 0.0000 Pm
```

## Properties
* ΔE_f: -6.6 eV/f.u.
* magnetization: 0.00 μB/f.u.
* crystal system: cubic


Here is crystalline TbPmPt at its relaxed geometry from the Alexandria database. Energies are from GGA-PBE.

Geometry as POSCAR:
```
TbPmPt
1.0
4.9415 0.0000 0.0000
2.4708 4.2795 0.0000
2.4708 1.4265 4.0348
Pm Pt Tb
1 1 1
Cartesian
0.0000 0.0000 0.0000 Pm
2.4708 1.4265 1.0087 Pt
4.9415 2.8530 2.0174 Tb
```

## Properties
* ΔE_f: -2.4 eV/f.u.
* energy relative to the lowest polymorph listed for this composition: 0.248 eV per formula unit
* magnetization: 0.00 μB/f.u.
* crystal system: cubic